# 1
ScSnC3 | PBE | optimized geometry

Properties
formation enthalpy at 0 K = 2.11 eV/atom
energy above the lowest structure with this stoichiometry = 0.0000 eV/atom
calculated total energy = -5.4888 eV/atom
magnetic moment = 0.000 μB/atom

a = 4.2830 Å, b = 4.2830 Å, c = 4.2830 Å
α = 90.00°, β = 90.00°, γ = 90.00°
Sites, in units of the cell vectors:
Sc 0.0000 0.0000 0.0000
Sn 0.5000 0.5000 0.5000
C 0.0000 0.0000 0.5000
C 0.0000 0.5000 0.0000
C 0.5000 0.0000 0.0000

---

# 2
SrSc2SnC | PBE | optimized geometry

Properties
formation enthalpy at 0 K = -0.40 eV/atom
calculated total energy = -5.9113 eV/atom
magnetic moment = 0.000 μB/atom

a = 4.6506 Å, b = 4.6506 Å, c = 5.1739 Å
α = 90.00°, β = 90.00°, γ = 90.00°
Sites, in units of the cell vectors:
Sr 0.0000 0.0000 0.0000
Sc 0.0000 0.5000 0.5000
Sc 0.5000 0.0000 0.5000
Sn 0.5000 0.5000 0.0000
C 0.0000 0.0000 0.5000

---

# 3
Sc2TcSnC | PBE | optimized geometry

Properties
formation enthalpy at 0 K = -0.52 eV/atom
calculated total energy = -7.7760 eV/atom
magnetic moment = 0.000 μB/atom

a = 4.5693 Å, b = 4.5693 Å, c = 4.0476 Å
α = 90.00°, β = 90.00°, γ = 90.00°
Sites, in units of the cell vectors:
Sc 0.0000 0.5000 0.0000
Sc 0.5000 0.0000 0.0000
Tc 0.0000 0.0000 0.5000
Sn 0.5000 0.5000 0.5000
C 0.0000 0.0000 0.0000

---

# 4
Th2ScSnC | PBE | optimized geometry

Properties
formation enthalpy at 0 K = -0.47 eV/atom
calculated total energy = -7.3507 eV/atom
magnetic moment = 0.000 μB/atom

a = 5.1178 Å, b = 5.1178 Å, c = 4.5842 Å
α = 90.00°, β = 90.00°, γ = 90.00°
Sites, in units of the cell vectors:
Th 0.0000 0.5000 0.0000
Th 0.5000 0.0000 0.0000
Sc 0.0000 0.0000 0.5000
Sn 0.5000 0.5000 0.5000
C 0.0000 0.0000 0.0000

---

# 5
ScTi2SnC | PBE | optimized geometry

Properties
formation enthalpy at 0 K = -0.63 eV/atom
calculated total energy = -7.6947 eV/atom
magnetic moment = 0.000 μB/atom

a = 4.2635 Å, b = 4.2635 Å, c = 4.4942 Å
α = 90.00°, β = 90.00°, γ = 90.00°
Sites, in units of the cell vectors:
Sc 0.0000 0.0000 0.0000
Ti 0.0000 0.5000 0.5000
Ti 0.5000 0.0000 0.5000
Sn 0.5000 0.5000 0.0000
C 0.0000 0.0000 0.5000

---

# 6
ScTiSnC2 | PBE | optimized geometry

Properties
formation enthalpy at 0 K = 2.14 eV/atom
calculated total energy = -5.1992 eV/atom
magnetic moment = 0.000 μB/atom

a = 4.3312 Å, b = 4.3312 Å, c = 5.1666 Å
α = 90.00°, β = 90.00°, γ = 90.00°
Sites, in units of the cell vectors:
Sc 0.0000 0.0000 0.0000
Ti 0.5000 0.5000 0.0000
Sn 0.5000 0.5000 0.5000
C 0.0000 0.5000 0.5000
C 0.5000 0.0000 0.5000

---

# 7
Tm2Sc2Sn2C | PBE | optimized geometry

Properties
formation enthalpy at 0 K = -0.80 eV/atom
calculated total energy = -6.3432 eV/atom
magnetic moment = 0.000 μB/atom

a = 8.4084 Å, b = 8.4084 Å, c = 8.4084 Å
α = 148.83°, β = 148.83°, γ = 44.67°
Sites, in units of the cell vectors:
Tm 0.1576 0.1576 0.0000
Tm 0.8424 0.8424 0.0000
Sc 0.0000 0.5000 0.5000
Sc 0.5000 0.0000 0.5000
Sn 0.3622 0.3622 0.0000
Sn 0.6378 0.6378 0.0000
C 0.0000 0.0000 0.0000

---

# 8
TmSc2SnC | PBE | optimized geometry

Properties
formation enthalpy at 0 K = -0.74 eV/atom
calculated total energy = -6.8093 eV/atom
magnetic moment = 0.000 μB/atom

a = 4.5629 Å, b = 4.5629 Å, c = 4.7714 Å
α = 90.00°, β = 90.00°, γ = 90.00°
Sites, in units of the cell vectors:
Tm 0.0000 0.0000 0.0000
Sc 0.0000 0.5000 0.5000
Sc 0.5000 0.0000 0.5000
Sn 0.5000 0.5000 0.0000
C 0.0000 0.0000 0.5000